Computed, not measured: an optimized crystal structure of Zn2Hg at the PBEsol level of DFT.

CIF file:
```
data_Zn2Hg
_cell_length_a 3.629
_cell_length_b 3.629
_cell_length_c 4.281
_cell_angle_alpha 90.00
_cell_angle_beta 90.00
_cell_angle_gamma 90.00
_space_group_name_H-M_alt 'P 1'
_space_group_IT_number 1
loop_
_space_group_symop_operation_xyz
'x,y,z'
loop_
_atom_site_label
_atom_site_type_symbol
_atom_site_fract_x
_atom_site_fract_y
_atom_site_fract_z
Hg1 Hg 0.000 0.000 0.000
Zn1 Zn 0.000 0.500 0.500
Zn2 Zn 0.500 0.000 0.500
```

DOS(E_F): 1.0 states/eV/f.u.
DFT total energy: -3.3 eV for the cell shown